# TbZnGe

An optimized crystal structure of TbZnGe (PBE, Alexandria).

Its formation enthalpy at 0 K is -62 kJ/mol of formula units. The value obtained for the spin magnetization is 0.0 μB/f.u.

a b c (Å): 4.0092 4.0092 8.3114
angles (deg): 90.00 90.00 90.00
Space group I4mm (No. 107)
Asymmetric unit:
Tb 0.0000 0.0000 0.0000
Zn 0.0000 0.0000 0.6578
Ge 0.0000 0.0000 0.3498


# Tb2Zn16Ge

An optimized crystal structure of Tb2Zn16Ge (PBE, Alexandria).

Its formation enthalpy at 0 K is -401 kJ/mol of formula units. The value obtained for the spin magnetization is 0.0 μB/f.u.

a b c (Å): 9.0947 9.0947 12.9773
angles (deg): 90.00 90.00 120.00
Space group R3m (No. 160, hexagonal axes)
Asymmetric unit:
Tb 0.0000 0.0000 0.0000
Tb 0.0000 0.0000 0.3326
Zn 0.0000 0.0000 0.7610
Zn 0.0001 0.3083 0.6658
Zn 0.0137 0.5069 0.8213
Zn 0.1717 0.3433 0.8429
Zn 0.1721 0.3442 0.4995
Ge 0.0000 0.0000 0.5634


# Tb4Zn5Ge6

An optimized crystal structure of Tb4Zn5Ge6 (PBE, Alexandria).

Its formation enthalpy at 0 K is -817 kJ/mol of formula units. The value obtained for the spin magnetization is 0.0 μB/f.u. The value obtained for the energy relative to the lowest polymorph listed for this composition is 0 kJ/mol of formula units.

a b c (Å): 4.2577 18.6250 15.3759
angles (deg): 90.00 90.00 90.00
Space group Cmc2_1 (No. 36)
Asymmetric unit:
Tb 0.0000 0.0196 0.0000
Tb 0.0000 0.0324 0.2629
Tb 0.0000 0.1682 0.8036
Tb 0.0000 0.1757 0.4454
Zn 0.0000 0.1512 0.1275
Zn 0.0000 0.3004 0.1249
Zn 0.0000 0.3452 0.7750
Zn 0.0000 0.3499 0.4809
Zn 0.0000 0.4340 0.1859
Ge 0.0000 0.1118 0.6178
Ge 0.0000 0.2220 0.9872
Ge 0.0000 0.2269 0.2651
Ge 0.0000 0.4315 0.9080
Ge 0.0000 0.4330 0.6300
Ge 0.0000 0.4401 0.3547


# TbZnGe

An optimized crystal structure of TbZnGe (PBE, Alexandria).

Its formation enthalpy at 0 K is -186 kJ/mol of formula units. The value obtained for the spin magnetization is 0.0 μB/f.u.

a b c (Å): 4.1932 4.1932 8.1011
angles (deg): 90.00 90.00 120.00
Space group P6_3/mmc (No. 194)
Asymmetric unit:
Tb 0.0000 0.0000 0.0000
Zn 0.3333 0.6667 0.2500
Ge 0.3333 0.6667 0.7500


# TbZn2Ge2

An optimized crystal structure of TbZn2Ge2 (PBE, Alexandria).

Its formation enthalpy at 0 K is -184 kJ/mol of formula units. The value obtained for the spin magnetization is 0.0 μB/f.u.

a b c (Å): 4.0429 22.8515 4.0474
angles (deg): 90.00 90.00 90.00
Space group Cmcm (No. 63)
Asymmetric unit:
Tb 0.0000 0.1486 0.2500
Zn 0.0000 0.0389 0.7500
Zn 0.0000 0.4589 0.7500
Ge 0.0000 0.2503 0.7500
Ge 0.0000 0.3833 0.2500


# Tb2Zn3Ge2

An optimized crystal structure of Tb2Zn3Ge2 (PBE, Alexandria).

Its formation enthalpy at 0 K is -235 kJ/mol of formula units. The value obtained for the spin magnetization is 0.0 μB/f.u.

a b c (Å): 3.8205 19.1934 4.0799
angles (deg): 90.00 90.00 90.00
Space group Cmmm (No. 65)
Asymmetric unit:
Tb 0.0000 0.1633 0.0000
Zn 0.0000 0.0000 0.0000
Zn 0.0000 0.4349 0.5000
Ge 0.0000 0.2944 0.5000


# Tb4Zn3Ge

An optimized crystal structure of Tb4Zn3Ge (PBE, Alexandria).

Its formation enthalpy at 0 K is -349 kJ/mol of formula units. The value obtained for the spin magnetization is 0.0 μB/f.u.

a b c (Å): 5.0514 5.0514 24.8750
angles (deg): 90.00 90.00 120.00
Space group R-3m (No. 166, hexagonal axes)
Asymmetric unit:
Tb 0.0000 0.0000 0.1234
Tb 0.0000 0.0000 0.3739
Zn 0.0000 0.0000 0.2435
Zn 0.0000 0.0000 0.5000
Ge 0.0000 0.0000 0.0000


# Tb3Zn2Ge3

An optimized crystal structure of Tb3Zn2Ge3 (PBE, Alexandria).

Its formation enthalpy at 0 K is -483 kJ/mol of formula units. The value obtained for the spin magnetization is 0.0 μB/f.u. The value obtained for the energy relative to the lowest polymorph listed for this composition is 26 kJ/mol of formula units.

a b c (Å): 4.2211 10.8595 14.9476
angles (deg): 90.00 90.00 90.00
Space group Cmcm (No. 63)
Asymmetric unit:
Tb 0.0000 0.0781 0.2500
Tb 0.0000 0.3675 0.1010
Zn 0.0000 0.3488 0.6223
Ge 0.0000 0.0927 0.0490
Ge 0.0000 0.1941 0.7500